Below is a PBEsol-optimized structure of Mg2TaRe, with properties calculated at the SCAN level.

The structure in CIF format:
```
data_Mg2TaRe
_chemical_formula_sum 'Mg2 Ta1 Re1'
_space_group_name_H-M_alt 'P m m 2'
_space_group_IT_number 25
_cell_length_a 2.7296
_cell_length_b 4.2820
_cell_length_c 5.9551
_cell_angle_alpha 90.00
_cell_angle_beta 90.00
_cell_angle_gamma 90.00
loop_
_space_group_symop_operation_xyz
'x,y,z'
'-x,-y,z'
'-x,y,z'
'x,-y,z'
loop_
_atom_site_label
_atom_site_fract_x
_atom_site_fract_y
_atom_site_fract_z
_atom_site_occupancy
Mg1 0.0000 0.0000 0.0000 1
Mg2 0.5000 0.5000 0.2476 1
Ta1 0.5000 0.5000 0.7195 1
Re1 0.0000 0.0000 0.5116 1
```

Calculated values
E above lowest polymorph: 0.036 eV per atom


Below is a PBEsol-optimized structure of MgTaRe2, with properties calculated at the SCAN level.

The structure in CIF format:
```
data_MgTaRe2
_chemical_formula_sum 'Mg2 Ta2 Re4'
_space_group_name_H-M_alt 'I -4 m 2'
_space_group_IT_number 119
_space_group_name_Hall 'I -4 -2'
_cell_length_a 3.8958
_cell_length_b 3.8958
_cell_length_c 8.2942
_cell_angle_alpha 90.00
_cell_angle_beta 90.00
_cell_angle_gamma 90.00
loop_
_atom_site_label
_atom_site_fract_x
_atom_site_fract_y
_atom_site_fract_z
_atom_site_occupancy
Mg1 0.0000 0.0000 0.0000 1
Ta1 0.0000 0.5000 0.7500 1
Re1 0.0000 0.0000 0.5000 1
Re2 0.0000 0.5000 0.2500 1
```


Below is a PBEsol-optimized structure of MgTa2Re, with properties calculated at the SCAN level.

The structure in CIF format:
```
data_MgTa2Re
_chemical_formula_sum 'Mg2 Ta4 Re2'
_space_group_name_H-M_alt 'C m m m'
_space_group_IT_number 65
_space_group_name_Hall '-C 2 2'
_cell_length_a 3.2125
_cell_length_b 4.6112
_cell_length_c 9.3347
_cell_angle_alpha 90.00
_cell_angle_beta 90.00
_cell_angle_gamma 90.00
loop_
_atom_site_label
_atom_site_fract_x
_atom_site_fract_y
_atom_site_fract_z
_atom_site_occupancy
Mg1 0.0000 0.0000 0.0000 1
Ta1 0.0000 0.5000 0.2699 1
Re1 0.0000 0.0000 0.5000 1
```


Below is a PBEsol-optimized structure of MgTaRe2, with properties calculated at the SCAN level.

The structure in CIF format:
```
data_MgTaRe2
_chemical_formula_sum 'Mg1 Ta1 Re2'
_space_group_name_H-M_alt 'P 4/m m m'
_space_group_IT_number 123
_space_group_name_Hall '-P 4 2'
_cell_length_a 4.3961
_cell_length_b 4.3961
_cell_length_c 3.2348
_cell_angle_alpha 90.00
_cell_angle_beta 90.00
_cell_angle_gamma 90.00
loop_
_atom_site_label
_atom_site_fract_x
_atom_site_fract_y
_atom_site_fract_z
_atom_site_occupancy
Mg1 0.0000 0.0000 0.0000 1
Ta1 0.5000 0.5000 0.0000 1
Re1 0.0000 0.5000 0.5000 1
```


no.,D(E_F) (states/eV/cell),formation enthalpy at 0 K (meV/atom),M_tot (Bohr magnetons per cell)
1,2.5,266,0.0
2,6.5,263,0.0
3,5.7,38,0.1
4,4.8,155,0.0